*i*
Entry from Alexandria: VCoTe2I after structural relaxation (GGA-PBE).

Summary:
The density of states at the Fermi level is 1.70 states/eV/atom. The symmetry is P4/mmm, No. 123.

Geometry as CIF:
```
data_VCoTe2I
_chemical_formula_sum 'V1 Co1 Te2 I1'
_space_group_name_H-M_alt 'P 1'
_space_group_IT_number 1
_space_group_name_Hall 'P 1'
_cell_length_a 5.138
_cell_length_b 5.138
_cell_length_c 5.803
_cell_angle_alpha 90.00
_cell_angle_beta 90.00
_cell_angle_gamma 90.00
loop_
_atom_site_label
_atom_site_type_symbol
_atom_site_fract_x
_atom_site_fract_y
_atom_site_fract_z
I1 I 0.000 0.000 0.500
Te1 Te 0.000 0.500 0.000
Te2 Te 0.500 0.000 0.000
Co1 Co 0.500 0.500 0.500
V1 V 0.000 0.000 0.000
```

*ii*
Entry from Alexandria: VCoTe2I after structural relaxation (GGA-PBE).

Summary:
The density of states at the Fermi level is 1.80 states/eV/atom. The symmetry is P4/mmm, No. 123.

Geometry as CIF:
```
data_VCoTe2I
_chemical_formula_sum 'V1 Co1 Te2 I1'
_space_group_name_H-M_alt 'P 1'
_space_group_IT_number 1
_space_group_name_Hall 'P 1'
_cell_length_a 4.970
_cell_length_b 4.970
_cell_length_c 5.213
_cell_angle_alpha 90.00
_cell_angle_beta 90.00
_cell_angle_gamma 90.00
loop_
_atom_site_label
_atom_site_type_symbol
_atom_site_fract_x
_atom_site_fract_y
_atom_site_fract_z
I1 I 0.000 0.000 0.500
Te1 Te 0.000 0.500 0.000
Te2 Te 0.500 0.000 0.000
Co1 Co 0.000 0.000 0.000
V1 V 0.500 0.500 0.500
```

Of them, the most stable is *i* and the least stable is *ii*.

*i*
Entry from Alexandria: VCoTeI2 after structural relaxation (GGA-PBE).

Summary:
The density of states at the Fermi level is 1.72 states/eV/atom. The symmetry is P4/mmm, No. 123.

Geometry as CIF:
```
data_VCoTeI2
_chemical_formula_sum 'V1 Co1 Te1 I2'
_space_group_name_H-M_alt 'P 1'
_space_group_IT_number 1
_space_group_name_Hall 'P 1'
_cell_length_a 5.143
_cell_length_b 5.143
_cell_length_c 5.126
_cell_angle_alpha 90.00
_cell_angle_beta 90.00
_cell_angle_gamma 90.00
loop_
_atom_site_label
_atom_site_type_symbol
_atom_site_fract_x
_atom_site_fract_y
_atom_site_fract_z
I1 I 0.000 0.500 0.000
I2 I 0.500 0.000 0.000
Te1 Te 0.000 0.000 0.500
Co1 Co 0.000 0.000 0.000
V1 V 0.500 0.500 0.500
```

*ii*
Entry from Alexandria: VCoTeI2 after structural relaxation (GGA-PBE).

Summary:
The density of states at the Fermi level is 1.54 states/eV/atom. The symmetry is P4/mmm, No. 123.

Geometry as CIF:
```
data_VCoTeI2
_chemical_formula_sum 'V1 Co1 Te1 I2'
_space_group_name_H-M_alt 'P 1'
_space_group_IT_number 1
_space_group_name_Hall 'P 1'
_cell_length_a 5.553
_cell_length_b 5.553
_cell_length_c 5.218
_cell_angle_alpha 90.00
_cell_angle_beta 90.00
_cell_angle_gamma 90.00
loop_
_atom_site_label
_atom_site_type_symbol
_atom_site_fract_x
_atom_site_fract_y
_atom_site_fract_z
I1 I 0.000 0.500 0.000
I2 I 0.500 0.000 0.000
Te1 Te 0.000 0.000 0.500
Co1 Co 0.500 0.500 0.500
V1 V 0.000 0.000 0.000
```

Of them, the most stable is *ii* and the least stable is *i*.

*i*
Entry from Alexandria: CoTe2WI after structural relaxation (GGA-PBE).

Summary:
The density of states at the Fermi level is 1.99 states/eV/atom. The symmetry is P4/mmm, No. 123.

Geometry as CIF:
```
data_CoTe2WI
_chemical_formula_sum 'Co1 Te2 W1 I1'
_space_group_name_H-M_alt 'P 1'
_space_group_IT_number 1
_space_group_name_Hall 'P 1'
_cell_length_a 5.979
_cell_length_b 5.167
_cell_length_c 5.979
_cell_angle_alpha 90.00
_cell_angle_beta 90.00
_cell_angle_gamma 90.00
loop_
_atom_site_label
_atom_site_type_symbol
_atom_site_fract_x
_atom_site_fract_y
_atom_site_fract_z
I1 I 0.000 0.000 0.000
Te1 Te 0.000 0.000 0.500
Te2 Te 0.500 0.000 0.000
Co1 Co 0.500 0.500 0.500
W1 W 0.000 0.500 0.000
```

*ii*
Entry from Alexandria: CoTe2WI after structural relaxation (GGA-PBE).

Summary:
The density of states at the Fermi level is 1.23 states/eV/atom. The symmetry is P4/mmm, No. 123.

Geometry as CIF:
```
data_CoTe2WI
_chemical_formula_sum 'Co1 Te2 W1 I1'
_space_group_name_H-M_alt 'P 1'
_space_group_IT_number 1
_space_group_name_Hall 'P 1'
_cell_length_a 5.223
_cell_length_b 5.223
_cell_length_c 5.779
_cell_angle_alpha 90.00
_cell_angle_beta 90.00
_cell_angle_gamma 90.00
loop_
_atom_site_label
_atom_site_type_symbol
_atom_site_fract_x
_atom_site_fract_y
_atom_site_fract_z
I1 I 0.000 0.000 0.500
Te1 Te 0.000 0.500 0.000
Te2 Te 0.500 0.000 0.000
Co1 Co 0.500 0.500 0.500
W1 W 0.000 0.000 0.000
```

Of them, the most stable is *ii* and the least stable is *i*.

*i*
Entry from Alexandria: ZnCoTeI2 after structural relaxation (GGA-PBE).

Summary:
The density of states at the Fermi level is 1.36 states/eV/atom. The symmetry is P4/mmm, No. 123.

Geometry as CIF:
```
data_ZnCoTeI2
_chemical_formula_sum 'Zn1 Co1 Te1 I2'
_space_group_name_H-M_alt 'P 1'
_space_group_IT_number 1
_space_group_name_Hall 'P 1'
_cell_length_a 5.509
_cell_length_b 5.509
_cell_length_c 5.418
_cell_angle_alpha 90.00
_cell_angle_beta 90.00
_cell_angle_gamma 90.00
loop_
_atom_site_label
_atom_site_type_symbol
_atom_site_fract_x
_atom_site_fract_y
_atom_site_fract_z
I1 I 0.000 0.500 0.000
I2 I 0.500 0.000 0.000
Zn1 Zn 0.000 0.000 0.000
Te1 Te 0.000 0.000 0.500
Co1 Co 0.500 0.500 0.500
```

*ii*
Entry from Alexandria: ZnCoTeI2 after structural relaxation (GGA-PBE).

Summary:
The density of states at the Fermi level is 1.23 states/eV/atom. The symmetry is P4/mmm, No. 123.

Geometry as CIF:
```
data_ZnCoTeI2
_chemical_formula_sum 'Zn1 Co1 Te1 I2'
_space_group_name_H-M_alt 'P 1'
_space_group_IT_number 1
_space_group_name_Hall 'P 1'
_cell_length_a 5.498
_cell_length_b 5.498
_cell_length_c 4.829
_cell_angle_alpha 90.00
_cell_angle_beta 90.00
_cell_angle_gamma 90.00
loop_
_atom_site_label
_atom_site_type_symbol
_atom_site_fract_x
_atom_site_fract_y
_atom_site_fract_z
I1 I 0.000 0.500 0.000
I2 I 0.500 0.000 0.000
Zn1 Zn 0.500 0.500 0.500
Te1 Te 0.000 0.000 0.500
Co1 Co 0.000 0.000 0.000
```

Of them, the most stable is *ii* and the least stable is *i*.

*i*
Entry from Alexandria: TiCo2I after structural relaxation (GGA-PBE).

Summary:
The density of states at the Fermi level is 1.11 states/eV/atom. The symmetry is I-42d, No. 122.

Geometry as CIF:
```
data_TiCo2I
_chemical_formula_sum 'Ti2 Co4 I2'
_space_group_name_H-M_alt 'P 1'
_space_group_IT_number 1
_space_group_name_Hall 'P 1'
_cell_length_a 4.110
_cell_length_b 4.110
_cell_length_c 8.463
_cell_angle_alpha 75.95
_cell_angle_beta 75.95
_cell_angle_gamma 90.00
loop_
_atom_site_label
_atom_site_type_symbol
_atom_site_fract_x
_atom_site_fract_y
_atom_site_fract_z
I1 I 0.000 0.000 0.000
I2 I 0.750 0.250 0.500
Co1 Co 0.591 0.125 0.250
Co2 Co 0.159 0.625 0.250
Co3 Co 0.375 0.409 0.750
Co4 Co 0.875 0.841 0.750
Ti1 Ti 0.500 0.500 0.000
Ti2 Ti 0.250 0.750 0.500
```

*ii*
Entry from Alexandria: TiCo2I after structural relaxation (GGA-PBE).

Summary:
The density of states at the Fermi level is 2.14 states/eV/atom. The symmetry is Fm-3m, No. 225.

Geometry as CIF:
```
data_TiCo2I
_chemical_formula_sum 'Ti1 Co2 I1'
_space_group_name_H-M_alt 'P 1'
_space_group_IT_number 1
_space_group_name_Hall 'P 1'
_cell_length_a 4.376
_cell_length_b 4.376
_cell_length_c 4.376
_cell_angle_alpha 60.00
_cell_angle_beta 60.00
_cell_angle_gamma 60.00
loop_
_atom_site_label
_atom_site_type_symbol
_atom_site_fract_x
_atom_site_fract_y
_atom_site_fract_z
I1 I 0.500 0.500 0.500
Co1 Co 0.250 0.250 0.250
Co2 Co 0.750 0.750 0.750
Ti1 Ti 0.000 0.000 0.000
```

Of them, the most stable is *ii* and the least stable is *i*.

*i*
Entry from Alexandria: Tl2CoI after structural relaxation (GGA-PBE).

Summary:
The density of states at the Fermi level is 0.21 states/eV/atom. The symmetry is Fm-3m, No. 225.

Geometry as CIF:
```
data_Tl2CoI
_chemical_formula_sum 'Tl2 Co1 I1'
_space_group_name_H-M_alt 'P 1'
_space_group_IT_number 1
_space_group_name_Hall 'P 1'
_cell_length_a 5.629
_cell_length_b 5.629
_cell_length_c 5.629
_cell_angle_alpha 60.00
_cell_angle_beta 60.00
_cell_angle_gamma 60.00
loop_
_atom_site_label
_atom_site_type_symbol
_atom_site_fract_x
_atom_site_fract_y
_atom_site_fract_z
I1 I 0.500 0.500 0.500
Tl1 Tl 0.250 0.250 0.250
Tl2 Tl 0.750 0.750 0.750
Co1 Co 0.000 0.000 0.000
```

*ii*
Entry from Alexandria: Tl2CoI after structural relaxation (GGA-PBE).

Summary:
The density of states at the Fermi level is 1.10 states/eV/atom. The symmetry is I-42d, No. 122.

Geometry as CIF:
```
data_Tl2CoI
_chemical_formula_sum 'Tl4 Co2 I2'
_space_group_name_H-M_alt 'P 1'
_space_group_IT_number 1
_space_group_name_Hall 'P 1'
_cell_length_a 6.435
_cell_length_b 6.435
_cell_length_c 8.551
_cell_angle_alpha 67.90
_cell_angle_beta 67.90
_cell_angle_gamma 90.00
loop_
_atom_site_label
_atom_site_type_symbol
_atom_site_fract_x
_atom_site_fract_y
_atom_site_fract_z
I1 I 0.000 0.000 0.000
I2 I 0.750 0.250 0.500
Tl1 Tl 0.506 0.125 0.250
Tl2 Tl 0.244 0.625 0.250
Tl3 Tl 0.375 0.494 0.750
Tl4 Tl 0.875 0.756 0.750
Co1 Co 0.500 0.500 0.000
Co2 Co 0.250 0.750 0.500
```

Of them, the most stable is *ii* and the least stable is *i*.

*i*
Entry from Alexandria: Tl2CoI2 after structural relaxation (GGA-PBE).

Summary:
The density of states at the Fermi level is 0.82 states/eV/atom. The symmetry is P4/mbm, No. 127.

Geometry as CIF:
```
data_Tl2CoI2
_chemical_formula_sum 'Tl4 Co2 I4'
_space_group_name_H-M_alt 'P 1'
_space_group_IT_number 1
_space_group_name_Hall 'P 1'
_cell_length_a 7.257
_cell_length_b 7.257
_cell_length_c 6.140
_cell_angle_alpha 90.00
_cell_angle_beta 90.00
_cell_angle_gamma 90.00
loop_
_atom_site_label
_atom_site_type_symbol
_atom_site_fract_x
_atom_site_fract_y
_atom_site_fract_z
I1 I 0.316 0.816 0.000
I2 I 0.816 0.684 0.000
I3 I 0.684 0.184 0.000
I4 I 0.184 0.316 0.000
Tl1 Tl 0.176 0.676 0.500
Tl2 Tl 0.676 0.824 0.500
Tl3 Tl 0.824 0.324 0.500
Tl4 Tl 0.324 0.176 0.500
Co1 Co 0.000 0.000 0.000
Co2 Co 0.500 0.500 0.000
```

*ii*
Entry from Alexandria: Tl2CoI2 after structural relaxation (GGA-PBE).

Summary:
The density of states at the Fermi level is 0.97 states/eV/atom. The symmetry is I4/mmm, No. 139.

Geometry as CIF:
```
data_Tl2CoI2
_chemical_formula_sum 'Tl2 Co1 I2'
_space_group_name_H-M_alt 'P 1'
_space_group_IT_number 1
_space_group_name_Hall 'P 1'
_cell_length_a 6.967
_cell_length_b 6.967
_cell_length_c 6.560
_cell_angle_alpha 57.92
_cell_angle_beta 57.92
_cell_angle_gamma 90.00
loop_
_atom_site_label
_atom_site_type_symbol
_atom_site_fract_x
_atom_site_fract_y
_atom_site_fract_z
I1 I 0.280 0.280 0.440
I2 I 0.720 0.720 0.560
Tl1 Tl 0.750 0.250 0.500
Tl2 Tl 0.250 0.750 0.500
Co1 Co 0.000 0.000 0.000
```

Of them, the most stable is *i* and the least stable is *ii*.

*i*
Entry from Alexandria: TlCo3I after structural relaxation (GGA-PBE).

Summary:
The density of states at the Fermi level is 1.76 states/eV/atom. The symmetry is Pm-3m, No. 221.

Geometry as CIF:
```
data_TlCo3I
_chemical_formula_sum 'Tl1 Co3 I1'
_space_group_name_H-M_alt 'P 1'
_space_group_IT_number 1
_space_group_name_Hall 'P 1'
_cell_length_a 4.691
_cell_length_b 4.691
_cell_length_c 4.691
_cell_angle_alpha 90.00
_cell_angle_beta 90.00
_cell_angle_gamma 90.00
loop_
_atom_site_label
_atom_site_type_symbol
_atom_site_fract_x
_atom_site_fract_y
_atom_site_fract_z
I1 I 0.000 0.000 0.000
Tl1 Tl 0.500 0.500 0.500
Co1 Co 0.000 0.500 0.000
Co2 Co 0.000 0.000 0.500
Co3 Co 0.500 0.000 0.000
```

*ii*
Entry from Alexandria: TlCo3I after structural relaxation (GGA-PBE).

Summary:
The density of states at the Fermi level is 1.93 states/eV/atom. The symmetry is Pm-3m, No. 221.

Geometry as CIF:
```
data_TlCo3I
_chemical_formula_sum 'Tl1 Co3 I1'
_space_group_name_H-M_alt 'P 1'
_space_group_IT_number 1
_space_group_name_Hall 'P 1'
_cell_length_a 4.957
_cell_length_b 4.957
_cell_length_c 4.957
_cell_angle_alpha 90.00
_cell_angle_beta 90.00
_cell_angle_gamma 90.00
loop_
_atom_site_label
_atom_site_type_symbol
_atom_site_fract_x
_atom_site_fract_y
_atom_site_fract_z
I1 I 0.500 0.500 0.500
Tl1 Tl 0.000 0.000 0.000
Co1 Co 0.000 0.500 0.000
Co2 Co 0.000 0.000 0.500
Co3 Co 0.500 0.000 0.000
```

Of them, the most stable is *i* and the least stable is *ii*.